Record 1
# NdSmErZn GGA-PBE optimized geometry
data_NdSmErZn
_cell_length_a 7.6548
_cell_length_b 7.6548
_cell_length_c 7.6548
_cell_angle_alpha 90.00
_cell_angle_beta 90.00
_cell_angle_gamma 90.00
_symmetry_space_group_name_H-M 'F -4 3 m'
_symmetry_Int_Tables_number 216
_symmetry_space_group_name_Hall 'F -4 2 3'
loop_
_atom_site_label
_atom_site_type_symbol
_atom_site_fract_x
_atom_site_fract_y
_atom_site_fract_z
_atom_site_occupancy
Nd1 Nd 0.0000 0.0000 0.0000 1
Sm1 Sm 0.0000 0.0000 0.5000 1
Er1 Er 0.2500 0.2500 0.2500 1
Zn1 Zn 0.2500 0.2500 0.7500 1
# Electronic total energy: -3.81 eV per atom
# Size of the total moment: 0.0 Bohr magnetons per cell
# DFT formation energy: 24 meV per atom
# E above lowest polymorph: 0.181 eV/atom
# Calculated volume: 448.55 Å³ per cell
# Mass density: 7.81 g cm⁻³

=====

Record 2
# LiCo4Ge2 GGA-PBE optimized geometry
data_LiCo4Ge2
_cell_length_a 4.2433
_cell_length_b 4.2433
_cell_length_c 9.9257
_cell_angle_alpha 90.00
_cell_angle_beta 90.00
_cell_angle_gamma 90.00
_symmetry_space_group_name_H-M 'I 4/m m m'
_symmetry_Int_Tables_number 139
_symmetry_space_group_name_Hall '-I 4 2'
loop_
_atom_site_label
_atom_site_type_symbol
_atom_site_fract_x
_atom_site_fract_y
_atom_site_fract_z
_atom_site_occupancy
Li1 Li 0.0000 0.0000 0.0000 1
Co1 Co 0.0000 0.5000 0.0000 1
Co2 Co 0.0000 0.5000 0.2500 1
Ge1 Ge 0.0000 0.0000 0.3631 1
# Electronic total energy: -5.42 eV per atom
# Size of the total moment: 7.4 Bohr magnetons per cell
# DFT formation energy: 229 meV per atom
# Calculated volume: 178.72 Å³ per cell
# Mass density: 7.21 g cm⁻³

=====

Record 3
# K2Be2BiO6 GGA-PBE optimized geometry
data_K2Be2BiO6
_cell_length_a 5.5602
_cell_length_b 5.5602
_cell_length_c 6.5061
_cell_angle_alpha 90.00
_cell_angle_beta 90.00
_cell_angle_gamma 120.00
_symmetry_space_group_name_H-M 'P -3'
_symmetry_Int_Tables_number 147
loop_
_symmetry_equiv_pos_as_xyz
'x,y,z'
'-x,-y,-z'
'-y,x-y,z'
'y,-x+y,-z'
'-x+y,-x,z'
'x-y,x,-z'
loop_
_atom_site_label
_atom_site_type_symbol
_atom_site_fract_x
_atom_site_fract_y
_atom_site_fract_z
_atom_site_occupancy
K1 K 0.3333 0.6667 0.3429 1
Be1 Be 0.3333 0.6667 0.8308 1
Bi1 Bi 0.0000 0.0000 0.0000 1
O1 O 0.1743 0.3509 0.8019 1
# Formation energy without anion corrections: -1.54 eV per atom
# Electronic total energy: -5.48 eV per atom
# Size of the total moment: 1.0 Bohr magnetons per cell
# Calculated volume: 174.19 Å³ per cell
# Mass density: 3.82 g cm⁻³

=====

Record 4
# Cr2FeRe GGA-PBE optimized geometry
data_Cr2FeRe
_cell_length_a 5.0773
_cell_length_b 8.3212
_cell_length_c 2.5391
_cell_angle_alpha 90.00
_cell_angle_beta 109.85
_cell_angle_gamma 90.00
_symmetry_space_group_name_H-M 'C 1 2/m 1'
_symmetry_Int_Tables_number 12
loop_
_symmetry_equiv_pos_as_xyz
'x,y,z'
'-x,-y,-z'
'-x,y,-z'
'x,-y,z'
'x+1/2,y+1/2,z'
'-x+1/2,-y+1/2,-z'
'-x+1/2,y+1/2,-z'
'x+1/2,-y+1/2,z'
loop_
_atom_site_label
_atom_site_type_symbol
_atom_site_fract_x
_atom_site_fract_y
_atom_site_fract_z
_atom_site_occupancy
Cr1 Cr 0.2500 0.2500 0.0000 1
Fe1 Fe 0.0000 0.0000 0.5000 1
Re1 Re 0.0000 0.5000 0.5000 1
# Electronic total energy: -9.95 eV per atom
# Size of the total moment: 5.3 Bohr magnetons per cell
# DFT formation energy: 94 meV per atom
# E above lowest polymorph: 0.017 eV/atom
# Calculated volume: 100.90 Å³ per cell
# Mass density: 11.39 g cm⁻³

=====

Record 5
# Np4Sn8Pt GGA-PBE optimized geometry
data_Np4Sn8Pt
_cell_length_a 4.3989
_cell_length_b 4.5587
_cell_length_c 16.5182
_cell_angle_alpha 90.00
_cell_angle_beta 90.00
_cell_angle_gamma 90.00
_symmetry_space_group_name_H-M 'P m m 2'
_symmetry_Int_Tables_number 25
loop_
_symmetry_equiv_pos_as_xyz
'x,y,z'
'-x,-y,z'
'-x,y,z'
'x,-y,z'
loop_
_atom_site_label
_atom_site_type_symbol
_atom_site_fract_x
_atom_site_fract_y
_atom_site_fract_z
_atom_site_occupancy
Np1 Np 0.0000 0.0000 0.0000 1
Np2 Np 0.0000 0.5000 0.4737 1
Np3 Np 0.5000 0.0000 0.7920 1
Np4 Np 0.5000 0.5000 0.3005 1
Sn1 Sn 0.0000 0.0000 0.3191 1
Sn2 Sn 0.0000 0.0000 0.6169 1
Sn3 Sn 0.0000 0.5000 0.1485 1
Sn4 Sn 0.0000 0.5000 0.8614 1
Sn5 Sn 0.5000 0.0000 0.1520 1
Sn6 Sn 0.5000 0.0000 0.4484 1
Sn7 Sn 0.5000 0.5000 0.6135 1
Sn8 Sn 0.5000 0.5000 0.9812 1
Pt1 Pt 0.0000 0.5000 0.7047 1
# Electronic total energy: -7.00 eV per atom
# Size of the total moment: 16.6 Bohr magnetons per cell
# DFT formation energy: -91 meV per atom
# Calculated volume: 331.25 Å³ per cell
# Mass density: 10.49 g cm⁻³

=====

Record 6
# RbBaLiHg GGA-PBE optimized geometry
data_RbBaLiHg
_cell_length_a 8.7107
_cell_length_b 8.7107
_cell_length_c 8.7107
_cell_angle_alpha 90.00
_cell_angle_beta 90.00
_cell_angle_gamma 90.00
_symmetry_space_group_name_H-M 'F -4 3 m'
_symmetry_Int_Tables_number 216
_symmetry_space_group_name_Hall 'F -4 2 3'
loop_
_atom_site_label
_atom_site_type_symbol
_atom_site_fract_x
_atom_site_fract_y
_atom_site_fract_z
_atom_site_occupancy
Rb1 Rb 0.0000 0.0000 0.0000 1
Ba1 Ba 0.0000 0.0000 0.5000 1
Li1 Li 0.2500 0.2500 0.7500 1
Hg1 Hg 0.2500 0.2500 0.2500 1
# Electronic total energy: -1.33 eV per atom
# Size of the total moment: 0.0 Bohr magnetons per cell
# DFT formation energy: -51 meV per atom
# Calculated volume: 660.95 Å³ per cell
# Mass density: 4.32 g cm⁻³

=====

Record 7
# SrW2Cl GGA-PBE optimized geometry
data_SrW2Cl
_cell_length_a 3.4746
_cell_length_b 3.4746
_cell_length_c 27.4068
_cell_angle_alpha 90.00
_cell_angle_beta 90.00
_cell_angle_gamma 120.00
_symmetry_space_group_name_H-M 'R 3 m'
_symmetry_Int_Tables_number 160
_symmetry_space_group_name_Hall 'R 3 -2"'
loop_
_atom_site_label
_atom_site_type_symbol
_atom_site_fract_x
_atom_site_fract_y
_atom_site_fract_z
_atom_site_occupancy
Sr1 Sr 0.0000 0.0000 0.0000 1
W1 W 0.0000 0.0000 0.4922 1
W2 W 0.0000 0.0000 0.7706 1
Cl1 Cl 0.0000 0.0000 0.2568 1
# Formation energy without anion corrections: 0.27 eV per atom
# Electronic total energy: -7.09 eV per atom
# Size of the total moment: 0.0 Bohr magnetons per cell
# E above lowest polymorph: 0.152 eV/atom
# Calculated volume: 286.54 Å³ per cell
# Mass density: 8.53 g cm⁻³

=====

Record 8
# Tl2TeI4 GGA-PBE optimized geometry
data_Tl2TeI4
_cell_length_a 8.3443
_cell_length_b 8.3443
_cell_length_c 9.0332
_cell_angle_alpha 90.00
_cell_angle_beta 90.00
_cell_angle_gamma 90.00
_symmetry_space_group_name_H-M 'I 4/m m m'
_symmetry_Int_Tables_number 139
_symmetry_space_group_name_Hall '-I 4 2'
loop_
_atom_site_label
_atom_site_type_symbol
_atom_site_fract_x
_atom_site_fract_y
_atom_site_fract_z
_atom_site_occupancy
Tl1 Tl 0.0000 0.5000 0.2500 1
Te1 Te 0.0000 0.0000 0.0000 1
I1 I 0.2468 0.2468 0.5000 1
# Formation energy without anion corrections: -0.40 eV per atom
# Electronic total energy: -2.41 eV per atom
# Size of the total moment: 0.0 Bohr magnetons per cell
# Calculated volume: 628.96 Å³ per cell
# Mass density: 5.51 g cm⁻³

=====

What is the mass density in the third record? 3.82 g cm⁻³

=====

Repeat the third record exactly.
# K2Be2BiO6 GGA-PBE optimized geometry
data_K2Be2BiO6
_cell_length_a 5.5602
_cell_length_b 5.5602
_cell_length_c 6.5061
_cell_angle_alpha 90.00
_cell_angle_beta 90.00
_cell_angle_gamma 120.00
_symmetry_space_group_name_H-M 'P -3'
_symmetry_Int_Tables_number 147
loop_
_symmetry_equiv_pos_as_xyz
'x,y,z'
'-x,-y,-z'
'-y,x-y,z'
'y,-x+y,-z'
'-x+y,-x,z'
'x-y,x,-z'
loop_
_atom_site_label
_atom_site_type_symbol
_atom_site_fract_x
_atom_site_fract_y
_atom_site_fract_z
_atom_site_occupancy
K1 K 0.3333 0.6667 0.3429 1
Be1 Be 0.3333 0.6667 0.8308 1
Bi1 Bi 0.0000 0.0000 0.0000 1
O1 O 0.1743 0.3509 0.8019 1
# Formation energy without anion corrections: -1.54 eV per atom
# Electronic total energy: -5.48 eV per atom
# Size of the total moment: 1.0 Bohr magnetons per cell
# Calculated volume: 174.19 Å³ per cell
# Mass density: 3.82 g cm⁻³

=====

mass density of number 5 (Np4Sn8Pt)? 10.49 g cm⁻³